No. 1
VASP calculation (PBE+U) on an optimized crystal structure of FeAg6F8.

Properties
The value obtained for the density is 5.69 Mg/m³. The symmetry is P-3. Its density of states at the Fermi level is 0.1202 states/eV/atom. The calculation puts the raw total energy at -56.329 eV per cell.

Cell: 6.910 6.910 6.034 Å, 90.00 90.00 120.00°
Sites, in units of the cell vectors:
Fe: 0.000 0.000 0.000
Ag: 0.050 0.528 0.237
Ag: 0.472 0.522 0.237
Ag: 0.478 0.950 0.237
Ag: 0.522 0.050 0.763
Ag: 0.528 0.478 0.763
Ag: 0.950 0.472 0.763
F: 0.132 0.863 0.815
F: 0.137 0.269 0.815
F: 0.269 0.132 0.185
F: 0.333 0.667 0.529
F: 0.667 0.333 0.471
F: 0.731 0.868 0.815
F: 0.863 0.731 0.185
F: 0.868 0.137 0.185



No. 2
VASP calculation (PBE+U) on an optimized crystal structure of Fe2AgF6.

Properties
The value obtained for the density is 4.44 Mg/m³. The symmetry is P4_2/mnm. Its density of states at the Fermi level is 0.4491 states/eV/atom. The calculation puts the raw total energy at -88.120 eV per cell.

Cell: 5.038 5.038 9.825 Å, 90.00 90.00 90.00°
Sites, in units of the cell vectors:
Fe: 0.000 0.000 0.169
Fe: 0.000 0.000 0.831
Fe: 0.500 0.500 0.331
Fe: 0.500 0.500 0.669
Ag: 0.000 0.000 0.500
Ag: 0.500 0.500 0.000
F: 0.170 0.170 0.000
F: 0.221 0.221 0.307
F: 0.221 0.221 0.693
F: 0.279 0.721 0.193
F: 0.279 0.721 0.807
F: 0.330 0.670 0.500
F: 0.670 0.330 0.500
F: 0.721 0.279 0.193
F: 0.721 0.279 0.807
F: 0.779 0.779 0.307
F: 0.779 0.779 0.693
F: 0.830 0.830 0.000



No. 3
VASP calculation (PBE+U) on an optimized crystal structure of FeAgF5.

Properties
The value obtained for the density is 3.96 Mg/m³. The symmetry is C2/c. The calculation puts the raw total energy at -61.504 eV per cell.

Cell: 5.610 5.610 7.551 Å, 97.02 97.02 110.84°
Sites, in units of the cell vectors:
Fe: 0.000 0.000 0.000
Fe: 0.000 0.000 0.500
Ag: 0.368 0.632 0.750
Ag: 0.632 0.368 0.250
F: 0.063 0.937 0.250
F: 0.154 0.756 0.556
F: 0.244 0.846 0.944
F: 0.288 0.336 0.070
F: 0.336 0.288 0.570
F: 0.664 0.712 0.430
F: 0.712 0.664 0.930
F: 0.756 0.154 0.056
F: 0.846 0.244 0.444
F: 0.937 0.063 0.750



Repeat the third record exactly.
VASP calculation (PBE+U) on an optimized crystal structure of FeAgF5.

Properties
The value obtained for the density is 3.96 Mg/m³. The symmetry is C2/c. The calculation puts the raw total energy at -61.504 eV per cell.

Cell: 5.610 5.610 7.551 Å, 97.02 97.02 110.84°
Sites, in units of the cell vectors:
Fe: 0.000 0.000 0.000
Fe: 0.000 0.000 0.500
Ag: 0.368 0.632 0.750
Ag: 0.632 0.368 0.250
F: 0.063 0.937 0.250
F: 0.154 0.756 0.556
F: 0.244 0.846 0.944
F: 0.288 0.336 0.070
F: 0.336 0.288 0.570
F: 0.664 0.712 0.430
F: 0.712 0.664 0.930
F: 0.756 0.154 0.056
F: 0.846 0.244 0.444
F: 0.937 0.063 0.750